Entry 1:
Here is a geometry-optimized Tb2NdHg3 structure from Alexandria via LeMat-Bulk. Energies are from PBE.

Summary:
space-group type: No. 123
crystal system: tetragonal
calculated volume: 161.0 Å³ per cell
final energy: -2.97 eV/atom

Cell and atoms, written as extended XYZ:
```
6
Lattice="3.771 0.000 0.000 0.000 3.771 0.000 0.000 0.000 11.320" Properties=species:S:1:pos:R:3 pbc="T T T"
Tb 0.000 0.000 1.853
Tb 0.000 0.000 9.466
Nd 0.000 0.000 5.660
Hg 1.886 1.886 0.000
Hg 1.886 1.886 3.644
Hg 1.886 1.886 7.676
```


Entry 2:
Here is a geometry-optimized CrIn2Pb structure from Alexandria via LeMat-Bulk. Energies are from PBE.

Summary:
space-group type: No. 122
crystal system: tetragonal
calculated volume: 420.1 Å³ per cell
final energy: -4.25 eV/atom

Cell and atoms, written as extended XYZ:
```
16
Lattice="8.477 0.000 0.000 0.000 8.477 0.000 0.000 0.000 5.847" Properties=species:S:1:pos:R:3 pbc="T T T"
Cr 0.000 0.000 0.000
Cr 0.000 4.238 1.462
Cr 4.238 0.000 4.385
Cr 4.238 4.238 2.923
In 1.781 2.119 0.731
In 2.119 6.020 2.193
In 2.119 6.695 5.116
In 2.457 2.119 3.654
In 6.020 6.358 3.654
In 6.358 1.781 5.116
In 6.358 2.457 2.193
In 6.695 6.358 0.731
Pb 0.000 0.000 2.923
Pb 0.000 4.238 4.385
Pb 4.238 0.000 1.462
Pb 4.238 4.238 0.000
```


Entry 3:
Here is a geometry-optimized Y3Mg2Ge3O12 structure from Alexandria via LeMat-Bulk. Energies are from PBE.

Summary:
space-group type: No. 230
crystal system: cubic
calculated volume: 979.2 Å³ per cell
E_form (uncorrected): -2.588 eV/atom

Cell and atoms, written as extended XYZ:
```
80
Lattice="-6.256 6.256 6.256 6.256 -6.256 6.256 6.256 6.256 -6.256" Properties=species:S:1:pos:R:3 pbc="T T T"
Y 3.128 1.564 0.000
Y 6.256 3.128 -1.564
Y 1.564 0.000 3.128
Y 7.820 0.000 3.128
Y 0.000 3.128 1.564
Y 3.128 -1.564 6.256
Y 3.128 7.820 0.000
Y 6.256 3.128 4.692
Y -1.564 6.256 3.128
Y 4.692 6.256 3.128
Y 0.000 3.128 7.820
Y 3.128 4.692 6.256
Mg 0.000 0.000 0.000
Mg 3.128 3.128 -3.128
Mg 3.128 -3.128 3.128
Mg 6.256 0.000 0.000
Mg -3.128 3.128 3.128
Mg 0.000 6.256 0.000
Mg 0.000 0.000 6.256
Mg 3.128 3.128 3.128
Ge 9.383 1.564 0.000
Ge 6.256 -3.128 4.692
Ge 4.692 6.256 -3.128
Ge 4.692 0.000 3.128
Ge 3.128 4.692 0.000
Ge 6.256 3.128 1.564
Ge 0.000 3.128 4.692
Ge 3.128 1.564 6.256
Ge 1.564 6.256 3.128
Ge 1.564 0.000 9.383
Ge 0.000 9.383 1.564
Ge -3.128 4.692 6.256
O 1.950 -0.380 0.702
O 7.434 3.830 -3.507
O 8.206 0.380 0.702
O 7.434 -2.426 3.507
O 5.876 -0.702 1.950
O 9.763 -1.178 2.426
O 0.702 1.950 -0.380
O 8.682 2.748 -1.178
O 3.830 3.507 -1.178
O 5.554 1.950 0.380
O -0.380 0.702 1.950
O 3.507 -1.178 3.830
O 5.876 5.554 -1.950
O 3.507 1.178 2.426
O 3.830 -3.507 7.434
O 5.554 -1.950 5.876
O 2.426 3.507 1.178
O 6.958 4.306 0.380
O 3.507 7.434 -2.426
O 5.876 0.702 4.306
O 1.950 5.876 -0.702
O 7.434 2.426 2.748
O 1.178 2.426 3.507
O 1.950 0.380 5.554
O 4.306 5.876 0.702
O 5.078 3.830 2.748
O -1.178 3.830 3.507
O 4.306 0.380 6.958
O 0.380 5.554 1.950
O 2.748 -1.178 8.682
O -0.702 1.950 5.876
O 3.830 2.748 5.078
O 0.702 8.206 0.380
O 2.426 9.763 -1.178
O 2.748 5.078 3.830
O 0.380 0.702 8.206
O 2.748 7.434 2.426
O 6.635 5.554 4.306
O 0.702 4.306 5.876
O 2.426 2.748 7.434
O -2.426 3.507 7.434
O 5.554 4.306 6.635
O -3.507 7.434 3.830
O 0.380 6.958 4.306
O -1.178 8.682 2.748
O -1.950 5.876 5.554
O -1.178 2.426 9.763
O 4.306 6.635 5.554
```


Entry 4:
Here is a geometry-optimized Ta3TlI structure from Alexandria via LeMat-Bulk. Energies are from PBE.

Summary:
space-group type: No. 221
crystal system: cubic
calculated volume: 126.7 Å³ per cell
E_form (uncorrected): 2.045 eV/atom

Cell and atoms, written as extended XYZ:
```
5
Lattice="5.022 0.000 0.000 0.000 5.022 0.000 0.000 0.000 5.022" Properties=species:S:1:pos:R:3 pbc="T T T"
Ta 0.000 0.000 2.511
Ta 0.000 2.511 0.000
Ta 2.511 0.000 0.000
Tl 2.511 2.511 2.511
I 0.000 0.000 0.000
```


Entry 5:
Here is a geometry-optimized K3AlN structure from Alexandria via LeMat-Bulk. Energies are from PBE.

Summary:
space-group type: No. 221
crystal system: cubic
calculated volume: 175.7 Å³ per cell
E_form (uncorrected): 0.694 eV/atom

Cell and atoms, written as extended XYZ:
```
5
Lattice="5.601 0.000 0.000 0.000 5.601 0.000 0.000 0.000 5.601" Properties=species:S:1:pos:R:3 pbc="T T T"
K 0.000 0.000 2.800
K 0.000 2.800 0.000
K 2.800 0.000 0.000
Al 2.800 2.800 2.800
N 0.000 0.000 0.000
```


Entry 6:
Here is a geometry-optimized AlPtO2 structure from Alexandria via LeMat-Bulk. Energies are from PBE.

Summary:
space-group type: No. 62
crystal system: orthorhombic
calculated volume: 186.4 Å³ per cell
E_form (uncorrected): -1.685 eV/atom

Cell and atoms, written as extended XYZ:
```
16
Lattice="6.326 0.000 0.000 0.000 2.793 0.000 0.000 0.000 10.547" Properties=species:S:1:pos:R:3 pbc="T T T"
Al 0.492 0.698 1.133
Al 2.671 2.095 6.406
Al 3.655 0.698 4.140
Al 5.834 2.095 9.414
Pt 0.354 2.095 4.086
Pt 2.810 0.698 9.360
Pt 3.517 2.095 1.187
Pt 5.973 0.698 6.461
O 0.768 0.698 9.764
O 1.533 2.095 1.630
O 1.630 0.698 6.904
O 2.395 2.095 4.491
O 3.931 0.698 6.056
O 4.697 2.095 3.643
O 4.793 0.698 8.917
O 5.558 2.095 0.782
```


Entry 7:
Here is a geometry-optimized Si2PW structure from Alexandria via LeMat-Bulk. Energies are from PBE.

Summary:
space-group type: No. 8
crystal system: monoclinic
calculated volume: 114.3 Å³ per cell
E_form (uncorrected): 0.161 eV/atom

Cell and atoms, written as extended XYZ:
```
8
Lattice="8.498 0.000 0.000 0.000 3.061 0.000 -0.276 0.000 4.395" Properties=species:S:1:pos:R:3 pbc="T T T"
Si 0.000 0.000 0.000
Si 1.833 0.000 3.319
Si 4.249 1.531 0.000
Si 6.082 1.531 3.319
P 2.292 1.531 1.293
P 6.541 0.000 1.293
W -0.128 1.531 2.206
W 4.121 0.000 2.206
```


Entry 8:
Here is a geometry-optimized LiLaGa2 structure from Alexandria via LeMat-Bulk. Energies are from PBE.

Summary:
space-group type: No. 123
crystal system: tetragonal
calculated volume: 95.1 Å³ per cell
final energy: -3.56 eV/atom

Cell and atoms, written as extended XYZ:
```
4
Lattice="4.912 0.000 0.000 0.000 4.912 0.000 0.000 0.000 3.939" Properties=species:S:1:pos:R:3 pbc="T T T"
Li 0.000 0.000 0.000
La 2.456 2.456 0.000
Ga 0.000 2.456 1.969
Ga 2.456 0.000 1.969
```


| no. | size of the total moment (μB/atom) |
| --- | --- |
| 1 | 0.15 |
| 2 | 0.97 |
| 3 | 0.00 |
| 4 | 0.00 |
| 5 | 0.46 |
| 6 | 0.00 |
| 7 | 0.00 |
| 8 | 0.00 |